KAgAs | PBE | optimized geometry

Cell lengths 5.152, 5.152, 5.152 Å; angles 60.00, 60.00, 60.00 degrees
Sites, in units of the cell vectors:
K1 0.000 0.000 0.000
Ag1 0.750 0.750 0.750
As1 0.250 0.250 0.250

## Properties
E_form = 0.6625 eV per atom
Excess energy over the best structure of this formula in the dataset = 0.912 eV/atom
Energy = -6.61 eV per cell



Nd2GaB2Rh5 | PBE | optimized geometry

Cell lengths 9.671, 9.671, 3.237 Å; angles 90.00, 90.00, 90.00 degrees
Sites, in units of the cell vectors:
Nd1 0.177 0.323 0.000
Nd2 0.323 0.823 0.000
Nd3 0.677 0.177 0.000
Nd4 0.823 0.677 0.000
Ga1 0.000 0.000 0.000
Ga2 0.500 0.500 0.000
B1 0.121 0.621 0.000
B2 0.379 0.121 0.000
B3 0.621 0.879 0.000
B4 0.879 0.379 0.000
Rh1 0.000 0.500 0.500
Rh2 0.069 0.778 0.500
Rh3 0.222 0.069 0.500
Rh4 0.278 0.569 0.500
Rh5 0.431 0.278 0.500
Rh6 0.500 0.000 0.500
Rh7 0.569 0.722 0.500
Rh8 0.722 0.431 0.500
Rh9 0.778 0.931 0.500
Rh10 0.931 0.222 0.500

## Properties
E_form = -0.6800 eV per atom
Energy = -138.95 eV per cell



Ba2ZrSb | PBE | optimized geometry

Cell lengths 6.341, 6.341, 3.627 Å; angles 90.00, 90.00, 112.82 degrees
Sites, in units of the cell vectors:
Ba1 0.000 0.500 0.000
Ba2 0.500 0.000 0.000
Zr1 0.000 0.000 0.500
Sb1 0.500 0.500 0.500

## Properties
Formation energy from raw total energies = 0.04 eV/atom
Energy = -16.37 eV per cell



PmYTh2 | PBE | optimized geometry

Cell lengths 5.069, 5.092, 10.185 Å; angles 90.00, 90.11, 90.00 degrees
Sites, in units of the cell vectors:
Pm1 0.001 0.250 0.367
Pm2 0.999 0.750 0.633
Y1 0.499 0.250 0.632
Y2 0.501 0.750 0.368
Th1 0.000 0.250 0.879
Th2 0.000 0.750 0.121
Th3 0.500 0.250 0.119
Th4 0.500 0.750 0.881

## Properties
E_form = 0.0283 eV per atom
Excess energy over the best structure of this formula in the dataset = 0.000 eV/atom
Energy = -51.88 eV per cell



ScSbCI2 | PBE | optimized geometry

Cell lengths 4.956, 4.956, 4.880 Å; angles 90.00, 90.00, 90.00 degrees
Sites, in units of the cell vectors:
Sc1 0.000 0.000 0.000
Sb1 0.500 0.500 0.000
C1 0.500 0.500 0.500
I1 0.000 0.500 0.500
I2 0.500 0.000 0.500

## Properties
Excess energy over the best structure of this formula in the dataset = 0.000 eV/atom
Formation energy from raw total energies = 0.81 eV/atom
Energy = -18.73 eV per cell



ScSbH2 | PBE | optimized geometry

Cell lengths 5.993, 5.993, 5.993 Å; angles 32.49, 32.49, 32.49 degrees
Sites, in units of the cell vectors:
Sc1 0.000 0.000 0.000
Sb1 0.184 0.184 0.184
H1 0.368 0.368 0.368
H2 0.676 0.676 0.676

## Properties
Excess energy over the best structure of this formula in the dataset = 0.000 eV/atom
Energy = -18.96 eV per cell



FeAsSe2 | PBE | optimized geometry

Cell lengths 4.713, 4.713, 3.265 Å; angles 90.00, 90.00, 90.00 degrees
Sites, in units of the cell vectors:
Fe1 0.000 0.000 0.000
As1 0.500 0.500 0.000
Se1 0.000 0.500 0.500
Se2 0.500 0.000 0.500

## Properties
Formation energy from raw total energies = 0.45 eV/atom
Energy = -18.28 eV per cell



LaTaCd4 | PBE | optimized geometry

Cell lengths 5.813, 5.813, 5.813 Å; angles 60.00, 60.00, 60.00 degrees
Sites, in units of the cell vectors:
La1 0.000 0.000 0.000
Ta1 0.750 0.750 0.750
Cd1 0.376 0.376 0.376
Cd2 0.376 0.376 0.872
Cd3 0.376 0.872 0.376
Cd4 0.872 0.376 0.376

## Properties
E_form = 0.1604 eV per atom
Energy = -19.48 eV per cell



Q: Look up the energy of the sixth one.
A: -18.96 eV per cell



Q: Among the records above, which one has the lowest energy?
A: Nd2GaB2Rh5



Q: The lowest energy belongs to which entry?
A: Nd2GaB2Rh5